Material: LiVSbF6
Method: DFT, GGA+U
State: optimized geometry

Calculated density ... 4.05 Mg/m³
Space-group type ... No. 163
E ... -5.311 eV per atom
Total magnetic moment ... 6.000 μB per cell

a = 5.3320 Å, b = 5.3320 Å, c = 9.7874 Å
α = 90.00°, β = 90.00°, γ = 120.00°
Last column: nearest neighbours and their distance in Å.
Fractional coordinates of all 18 atoms:
Li 0.3333 0.6667 0.2500  6 F 2.08
Li 0.6667 0.3333 0.7500  6 F 2.08
V 0.3333 0.6667 0.7500  6 F 2.12
V 0.6667 0.3333 0.2500  6 F 2.12
Sb 0.0000 0.0000 0.0000  6 F 2.23
Sb 0.0000 0.0000 0.5000  6 F 2.23
F 0.0062 0.3434 0.1332  1 Li 2.08, 1 V 2.12, 1 Sb 2.23
F 0.0062 0.6629 0.3668  1 Li 2.08, 1 V 2.12, 1 Sb 2.23
F 0.3371 0.3434 0.3668  1 Li 2.08, 1 V 2.12, 1 Sb 2.23
F 0.3371 0.9938 0.1332  1 Li 2.08, 1 V 2.12, 1 Sb 2.23
F 0.3434 0.0062 0.6332  1 Li 2.08, 1 V 2.12, 1 Sb 2.23
F 0.3434 0.3371 0.8668  1 Li 2.08, 1 V 2.12, 1 Sb 2.23
F 0.6566 0.6629 0.1332  1 Li 2.08, 1 V 2.12, 1 Sb 2.23
F 0.6566 0.9938 0.3668  1 Li 2.08, 1 V 2.12, 1 Sb 2.23
F 0.6629 0.0062 0.8668  1 Li 2.08, 1 V 2.12, 1 Sb 2.23
F 0.6629 0.6566 0.6332  1 Li 2.08, 1 V 2.12, 1 Sb 2.23
F 0.9938 0.3371 0.6332  1 Li 2.08, 1 V 2.12, 1 Sb 2.23
F 0.9938 0.6566 0.8668  1 Li 2.08, 1 V 2.12, 1 Sb 2.23